GGA-PBE CoOs2C, optimized geometry; calculated formation energy = 1.05 eV per atom; Fermi-level density of states = 5.37 states/eV/cell; space-group type = I-42d (122)
1.0
-1.8831 -3.9067 2.4720
4.5155 -2.1267 0.0787
2.2495 -0.8841 5.3567
Co C Os
2 2 4
Cartesian
0.0000 0.0000 0.0000 Co
0.8413 -3.9038 4.5520 Co
1.3162 -3.0167 1.2753 C
4.0406 -3.0138 3.3554 C
0.0512 -2.7184 2.7610 Os
3.0479 -2.2488 1.8304 Os
2.9172 -3.0401 4.9783 Os
3.7475 -5.8280 6.2451 Os

=====

GGA-PBE K2TcBr, optimized geometry; Fermi-level density of states = 3.94 states/eV/cell; relative energy among the computed polymorphs = 0 meV per atom; raw formation energy = 0.325 eV/atom; space-group type = P4/mmm (123)
1.0
-2.2807 1.3233 2.5699
0.4785 -3.0532 1.9968
7.2195 3.9812 4.3573
Br K Tc
1 2 1
Cartesian
4.5135 2.1209 5.5513 Br
7.0024 3.8614 4.2262 K
3.8268 2.1103 2.3097 K
0.9038 0.1303 3.3727 Tc

=====

GGA-PBE Cs12Ag5Pt3, optimized geometry; calculated formation energy = 0.14 eV per atom; Fermi-level density of states = 38.44 states/eV/cell; space-group type = Ia-3d (230)
1.0
-15.9866 7.3250 -4.6041
-0.5264 -5.2522 17.3943
13.1748 12.3273 -2.2112
Pt Ag Cs
12 20 48
Cartesian
-10.5405 5.0651 2.7934 Pt
-12.7362 4.0112 8.7408 Pt
1.8445 6.5123 9.9372 Pt
0.8781 5.7975 0.1941 Pt
-10.7604 8.8347 -2.4071 Pt
-3.0303 2.5461 8.5921 Pt
-0.3079 11.8540 1.9870 Pt
7.4221 5.5654 12.9862 Pt
-4.2163 8.6027 10.3850 Pt
-5.1827 7.8878 0.6419 Pt
9.3980 10.3889 1.8383 Pt
7.2023 9.3350 7.7857 Pt
1.0980 2.0279 5.3946 Ag
-0.2632 -2.6261 8.6972 Ag
0.0000 0.0000 0.0000 Ag
-4.4797 2.9748 2.3457 Ag
-1.4059 9.8261 -3.4076 Ag
-8.2565 1.0364 6.3951 Ag
2.5474 1.5992 11.6410 Ag
-0.5278 15.6236 -3.2135 Ag
-7.3784 6.8339 6.5892 Ag
3.8203 11.3358 -1.2106 Ag
-7.1585 3.0643 11.7897 Ag
-1.6691 7.2001 5.2896 Ag
-7.9933 3.6625 -2.3020 Ag
6.5874 6.1636 -1.1056 Ag
4.0402 7.5662 3.9899 Ag
-2.8104 -1.2235 13.7926 Ag
6.3242 3.5375 7.5916 Ag
-5.8856 12.8009 -1.0619 Ag
1.1415 11.4254 8.2334 Ag
-4.4362 12.3722 5.1845 Ag
-11.0029 5.4983 -1.2214 Cs
0.1528 4.7531 7.3604 Cs
-11.6830 8.1639 1.4941 Cs
-7.3985 4.5318 1.2316 Cs
-1.1850 8.8429 8.5549 Cs
-12.9789 5.9920 5.1999 Cs
-0.4208 3.2734 10.8851 Cs
0.1883 -2.5632 14.9748 Cs
-0.7197 7.5415 12.1648 Cs
-9.8306 4.3538 6.7317 Cs
-7.5904 7.8238 3.2486 Cs
-12.8670 1.9663 12.2510 Cs
4.9234 4.0645 10.9614 Cs
-4.7211 1.7034 5.5876 Cs
2.6794 0.3920 14.9136 Cs
1.0892 9.2083 -0.7640 Cs
1.3706 2.7802 1.9969 Cs
-6.4114 0.5001 9.5421 Cs
-10.2382 4.5955 11.1933 Cs
-1.4352 -0.2607 6.1228 Cs
3.6925 7.1782 12.8932 Cs
-4.2042 5.7193 7.5203 Cs
-7.8884 9.4387 8.8562 Cs
-0.5633 14.9119 0.2036 Cs
0.8660 8.6808 3.0588 Cs
4.5501 4.9614 1.7229 Cs
-2.7750 -0.5118 10.3755 Cs
6.9000 9.8046 -0.6142 Cs
-7.0307 7.2219 -2.3141 Cs
-1.9031 14.6608 4.4563 Cs
3.0731 13.9000 1.0370 Cs
-4.4274 5.1919 11.3432 Cs
-4.7088 11.6199 8.5822 Cs
-6.0176 14.0082 -4.3345 Cs
-8.2616 10.3356 -0.3823 Cs
9.5287 12.4338 -1.6719 Cs
1.3829 12.6967 4.9915 Cs
-2.6185 6.8586 -1.5857 Cs
6.4924 10.0464 3.8474 Cs
4.2522 6.5764 7.3305 Cs
-3.5266 16.9633 -4.3957 Cs
-2.9174 11.1267 -0.3060 Cs
4.0602 9.8683 9.3475 Cs
9.6407 8.4081 5.3792 Cs
-2.1533 5.5572 2.0242 Cs
8.3448 6.2362 9.0850 Cs
-3.4911 9.6470 3.2187 Cs
7.6647 8.9018 11.8005 Cs

=====

GGA-PBE CaAs2Se, optimized geometry; Fermi-level density of states = 0.31 states/eV/cell; raw formation energy = -0.745 eV/atom; space-group type = C2/m (12)
1.0
6.2709 -0.0002 0.0000
5.0509 3.7165 0.0000
-0.8030 -0.2636 4.2362
As Ca Se
2 1 1
Cartesian
-0.5885 -0.1932 3.9948 As
5.0449 1.6559 2.3595 As
7.8891 2.5895 3.1771 Ca
2.6297 0.8632 1.0590 Se

=====

GGA-PBE Sm2Dy3Ho6Mg, optimized geometry; calculated formation energy = 0.02 eV per atom; Fermi-level density of states = 17.10 states/eV/cell; space-group type = C2/m (12)
1.0
6.1006 -0.0033 0.0034
-3.0517 5.2825 0.0034
-1.0300 -1.7835 11.5098
Sm Dy Ho Mg
2 3 6 1
Cartesian
0.0027 3.5185 0.0034 Sm
3.0463 1.7607 0.0034 Sm
-2.0497 3.5147 5.7583 Dy
4.0687 -0.0189 5.7583 Dy
1.0095 1.7479 5.7583 Dy
3.0370 1.7510 8.6342 Ho
2.0303 3.5154 2.8985 Ho
-1.0180 1.7448 2.8825 Ho
-0.0011 3.5056 8.6342 Ho
-0.0113 -0.0196 8.6181 Ho
2.0200 -0.0098 2.8825 Ho
0.0000 0.0000 0.0000 Mg

=====

GGA-PBE LiGe2O4, optimized geometry; Fermi-level density of states = 2.88 states/eV/cell; relative energy among the computed polymorphs = 80 meV per atom; raw formation energy = -1.332 eV/atom; space-group type = Cccm (66)
1.0
4.9860 0.1583 0.0000
-2.3047 4.4241 0.0000
0.0000 0.0000 8.0604
Li Ge O
2 4 8
Cartesian
1.3406 2.2912 2.0151 Li
1.3406 2.2912 6.0453 Li
-0.7576 3.5148 0.0000 Ge
3.4388 1.0676 0.0000 Ge
-0.7540 3.5209 4.0302 Ge
3.4352 1.0615 4.0302 Ge
1.1149 3.6176 0.0000 O
1.5663 0.9648 0.0000 O
0.0737 1.8381 4.0302 O
2.6075 2.7443 4.0302 O
2.4930 0.0791 2.7441 O
-1.1524 2.2121 1.2861 O
2.4930 0.0791 5.3163 O
-1.1524 2.2121 6.7743 O

=====

GGA-PBE LaNi, optimized geometry; calculated formation energy = -0.24 eV per atom; Fermi-level density of states = 22.75 states/eV/cell; space-group type = Pbcm (57)
1.0
6.8281 0.0000 0.0000
0.0000 8.5191 0.0000
0.0000 0.0000 9.5218
La Ni
12 12
Cartesian
1.7070 1.1384 2.1953 La
5.1210 7.3807 7.3265 La
1.7070 5.3979 7.3265 La
5.1210 3.1212 2.1953 La
1.7070 4.3738 3.7325 La
5.1210 4.1453 5.7893 La
1.7070 0.1142 5.7893 La
5.1210 8.4049 3.7325 La
0.0000 6.3893 0.9873 La
3.4140 2.1298 8.5345 La
0.0000 2.1298 8.5345 La
3.4140 6.3893 0.9873 La
1.7070 3.7802 0.7974 Ni
5.1210 4.7389 8.7244 Ni
1.7070 8.0398 8.7244 Ni
5.1210 0.4793 0.7974 Ni
1.7070 7.2420 3.2388 Ni
5.1210 1.2771 6.2830 Ni
1.7070 2.9825 6.2830 Ni
5.1210 5.5366 3.2388 Ni
0.0000 6.3893 4.8561 Ni
3.4140 2.1298 4.6657 Ni
0.0000 2.1298 4.6657 Ni
3.4140 6.3893 4.8561 Ni

=====

GGA-PBE Ac3LaPmPr, optimized geometry; calculated formation energy = 0.03 eV per atom; Fermi-level density of states = 21.41 states/eV/cell; space-group type = P2_1/m (11)
1.0
-4.0960 -1.6717 3.2214
3.8896 -7.5419 1.0318
2.6976 8.1659 7.6677
Ac La Pm Pr
6 2 2 2
Cartesian
0.4424 -7.4432 3.6727 Ac
2.0488 6.3955 8.2482 Ac
2.6762 -1.4426 4.9785 Ac
-0.1850 0.3949 6.9424 Ac
-1.0368 -2.4481 4.3841 Ac
3.5280 1.4004 7.5368 Ac
0.2269 1.0816 3.1740 La
2.2643 -2.1293 8.7469 La
1.7594 -4.1208 2.4229 Pm
0.7318 3.0731 9.4980 Pm
1.1346 3.7483 5.7121 Pr
1.3566 -4.7960 6.2088 Pr

=====

GGA-PBE KIrS, optimized geometry; relative energy among the computed polymorphs = 0 meV per atom; raw formation energy = -0.369 eV/atom; space-group type = P2_1 (4)
1.0
-0.7028 3.5143 -2.0466
-5.2826 -0.8908 0.2844
0.0830 1.4105 5.9599
K Ir S
2 2 2
Cartesian
-3.5634 0.6218 0.0149 K
-1.1236 3.6173 4.1174 K
-4.4094 0.3922 3.1146 Ir
-2.3168 3.5030 1.1275 Ir
-1.0011 1.6060 1.5809 S
-3.8412 2.6068 2.5597 S

=====

GGA-PBE TaAgIN2, optimized geometry; Fermi-level density of states = 6.14 states/eV/cell; relative energy among the computed polymorphs = 2077 meV per atom; raw formation energy = 2.396 eV/atom; space-group type = P4/mmm (123)
1.0
-2.1150 -3.3797 -1.0719
1.2599 -1.8831 3.4512
-4.2453 1.8457 2.5569
I N Ag Ta
1 2 1 1
Cartesian
-2.1226 0.9229 1.2784 I
0.6300 -0.9415 1.7256 N
-1.0575 -1.6898 -0.5360 N
0.0000 0.0000 0.0000 Ag
-2.5502 -1.7085 2.4681 Ta

=====

GGA-PBE KSn3Ir, optimized geometry; calculated formation energy = 2.02 eV per atom; Fermi-level density of states = 5.90 states/eV/cell; relative energy among the computed polymorphs = 2227 meV per atom; space-group type = Pm-3m (221)
1.0
-2.4318 -1.3838 -4.7737
1.0410 -5.3384 1.0172
-4.8600 -0.4511 2.6065
K Ir Sn
1 1 3
Cartesian
0.0000 0.0000 0.0000 K
-3.1254 -3.5867 -0.5750 Ir
0.5205 -2.6692 0.5086 Sn
-2.4300 -0.2255 1.3033 Sn
-1.2159 -0.6919 -2.3869 Sn

=====

GGA-PBE LiEuTh, optimized geometry; calculated formation energy = 0.19 eV per atom; Fermi-level density of states = 2.97 states/eV/cell; relative energy among the computed polymorphs = 0 meV per atom; space-group type = P3m1 (156)
1.0
3.5425 0.0000 0.0000
-1.7713 3.0679 0.0000
0.0000 0.0000 8.6762
Eu Th Li
1 1 1
Cartesian
0.0000 0.0000 0.0520 Eu
0.0000 2.0453 5.6767 Th
1.7713 1.0226 2.9475 Li

=====

GGA-PBE Ni5Rh, optimized geometry; calculated formation energy = 0.15 eV per atom; Fermi-level density of states = 8.50 states/eV/cell; space-group type = F-43m (216)
1.0
-4.0702 1.7207 1.4327
-1.4824 4.0998 -1.6044
-3.6032 0.1838 -2.9262
Ni Rh
5 1
Cartesian
-5.4670 3.1118 -0.4473 Ni
-6.8668 4.5033 -2.3234 Ni
-4.1753 4.2993 -1.9632 Ni
-3.4354 2.2529 -1.1624 Ni
-5.2339 2.3447 -2.6230 Ni
0.0000 0.0000 0.0000 Rh

=====

GGA-PBE K2CdSiO4, optimized geometry; Fermi-level density of states = 0.00 states/eV/cell; relative energy among the computed polymorphs = 0 meV per atom; raw formation energy = -2.011 eV/atom; space-group type = Pca2_1 (29)
1.0
5.7104 0.0000 0.0000
0.0000 11.4460 0.0000
0.0000 0.0000 16.1683
K Cd Si O
16 8 8 32
Cartesian
2.9646 0.0613 15.2223 K
2.7458 11.3847 7.1381 K
2.7458 5.7843 15.2223 K
2.9646 5.6617 7.1381 K
3.0541 2.9720 13.2475 K
2.6562 8.4740 5.1633 K
2.6562 8.6950 13.2475 K
3.0541 2.7510 5.1633 K
5.6914 11.2981 0.9662 K
0.0190 0.1479 9.0504 K
0.0190 5.5751 0.9662 K
5.6914 5.8709 9.0504 K
5.4650 8.3612 3.0200 K
0.2453 3.0848 11.1042 K
0.2453 2.6382 3.0200 K
5.4650 8.8078 11.1042 K
0.0972 0.1521 13.1283 Cd
5.6132 11.2939 5.0441 Cd
5.6132 5.8751 13.1283 Cd
0.0972 5.5709 5.0441 Cd
2.6811 8.4906 1.0386 Cd
3.0293 2.9554 9.1228 Cd
3.0293 2.7676 1.0386 Cd
2.6811 8.6784 9.1228 Cd
2.7127 11.3341 3.0853 Si
2.9977 0.1119 11.1694 Si
2.9977 5.6111 3.0853 Si
2.7127 5.8349 11.1694 Si
0.0690 3.0567 15.0824 Si
5.6413 8.3893 6.9982 Si
5.6413 8.7797 15.0824 Si
0.0690 2.6663 6.9982 Si
1.4405 3.5134 15.8881 O
4.2698 7.9326 7.8039 O
4.2698 9.2364 15.8881 O
1.4405 2.2096 7.8039 O
4.9554 4.4508 14.6920 O
0.7550 6.9952 6.6078 O
0.7550 10.1738 14.6920 O
4.9554 1.2722 6.6078 O
0.4551 2.2476 13.6904 O
5.2552 9.1984 5.6062 O
5.2552 7.9706 13.6904 O
0.4551 3.4754 5.6062 O
3.7084 11.1343 12.6123 O
2.0020 0.3117 4.5281 O
2.0020 5.4112 12.6123 O
3.7084 6.0347 4.5281 O
0.9368 7.8407 16.0128 O
4.7735 3.6053 7.9286 O
4.7735 2.1177 16.0128 O
0.9368 9.3283 7.9286 O
3.4994 6.6030 1.8541 O
2.2109 4.8430 9.9382 O
2.2109 0.8800 1.8541 O
3.4994 10.5660 9.9382 O
2.2131 9.7799 2.7402 O
3.4973 1.6661 10.8243 O
3.4973 4.0569 2.7402 O
2.2131 7.3891 10.8243 O
4.3565 0.0252 3.2348 O
1.3538 11.4207 11.3189 O
1.3538 5.7482 3.2348 O
4.3565 5.6977 11.3189 O

=====

GGA-PBE TlMo3Cl, optimized geometry; Fermi-level density of states = 10.78 states/eV/cell; relative energy among the computed polymorphs = 1833 meV per atom; raw formation energy = 2.879 eV/atom; space-group type = Pm-3m (221)
1.0
-5.0277 -0.3372 -0.7558
0.7953 -0.6796 -4.9868
0.2292 -5.0386 0.7232
Tl Mo Cl
1 3 1
Cartesian
0.0000 0.0000 0.0000 Tl
0.3976 -0.3398 -2.4934 Mo
0.1146 -2.5193 0.3616 Mo
-2.5138 -0.1686 -0.3779 Mo
-2.0016 -3.0277 -2.5097 Cl

=====

GGA-PBE TbSm4Al2, optimized geometry; calculated formation energy = 0.10 eV per atom; Fermi-level density of states = 11.57 states/eV/cell; relative energy among the computed polymorphs = 287 meV per atom; space-group type = R-3m (166)
1.0
5.1201 0.0000 0.0000
2.5601 4.4342 0.0000
2.5601 1.4781 10.1460
Tb Sm Al
1 4 2
Cartesian
5.1201 2.9561 5.0730 Tb
7.6802 4.4342 9.0533 Sm
7.6802 4.4342 3.1372 Sm
2.5601 1.4781 1.0927 Sm
2.5601 1.4781 7.0088 Sm
5.1201 2.9561 2.0553 Al
5.1201 2.9561 8.0907 Al

=====

GGA-PBE La2RuCl, optimized geometry; Fermi-level density of states = 2.88 states/eV/cell; relative energy among the computed polymorphs = 25 meV per atom; raw formation energy = -0.984 eV/atom; space-group type = R3m (160)
1.0
-2.9607 1.8918 2.1171
-3.9306 -0.5360 -1.0439
-2.7473 -5.6632 5.1926
La Ru Cl
2 1 1
Cartesian
-2.6560 -4.4230 4.2120 La
-2.3873 -0.7733 1.3265 La
-7.3398 -4.7366 5.8901 Ru
-4.8220 -2.1913 3.1626 Cl

=====

GGA-PBE Ac3La6Tl, optimized geometry; calculated formation energy = -0.05 eV per atom; Fermi-level density of states = 27.72 states/eV/cell; space-group type = P2_1/m (11)
1.0
-4.2805 2.9520 -0.2871
3.4208 3.1753 -18.3569
-5.4643 -7.3868 5.5194
Ac La Tl
6 12 2
Cartesian
-3.8806 -3.3637 -0.3431 Ac
-2.4434 2.1042 -12.7815 Ac
-2.4583 -2.0041 -7.5702 Ac
-3.8657 0.7446 -5.5543 Ac
-1.7569 -1.3501 -11.3044 Ac
-4.5671 0.0906 -1.8202 Ac
-3.1500 -2.6610 -4.0118 La
-3.1740 1.4015 -9.1128 La
1.6669 2.9919 -17.7065 La
-7.9909 -4.2514 4.5819 La
-4.5030 -3.9048 3.3733 La
-1.8210 2.6452 -16.4979 La
0.9998 2.3829 -14.0217 La
-7.3238 -3.6424 0.8971 La
0.3511 1.8081 -10.2596 La
-6.6751 -3.0677 -2.8650 La
-1.0202 0.5122 -3.1380 La
-5.3038 -1.7717 -9.9866 La
-0.3812 1.0832 -6.7946 Tl
-5.9428 -2.3427 -6.3300 Tl